(1)
The following is a PBE-GGA calculation of a relaxed ZnCrGaAg crystal, from Alexandria.

Cell: 4.4559 4.4559 4.4559 Å, 60.00 60.00 60.00°
Fractional positions:
Zn 0.0000 0.0000 0.0000
Cr 0.7500 0.7500 0.7500
Ga 0.5000 0.5000 0.5000
Ag 0.2500 0.2500 0.2500

The space-group type is No. 216. The value obtained for the final energy is -4.07 eV/atom. The value obtained for the calculated density is 7.8 g cm⁻³. The calculated formation energy is 0.12 eV per atom.

***

(2)
The following is a PBE-GGA calculation of a relaxed RbSO2 crystal, from Alexandria.

Cell: 7.0983 7.0983 7.0983 Å, 27.33 27.33 27.33°
Fractional positions:
Rb 0.0000 0.0000 0.0000
S 0.5000 0.5000 0.5000
O 0.1234 0.1234 0.1234
O 0.8766 0.8766 0.8766

The space-group type is No. 166. The value obtained for the final energy is -3.71 eV/atom. The value obtained for the calculated density is 3.7 g cm⁻³.